(1)
## Li2ScRu (GGA-PBE)

Data for a relaxed Li2ScRu crystal.

a = 5.261 Å, b = 5.261 Å, c = 2.759 Å
α = 90.00°, β = 90.00°, γ = 121.77°
Fractional coordinates of all 4 atoms:
Ru 0.500 0.000 0.500
Li 0.000 0.000 0.000
Li 0.500 0.500 0.000
Sc 0.000 0.500 0.500

Properties
Energy above the most stable polymorph in this dataset (meV/atom): 267
Total DFT energy (no corrections) (eV/cell): -18.6
ΔE_f (eV per atom): 0.200
Theoretical density (g/cm³): 4.1

=====

(2)
## LiScRu (GGA-PBE)

Data for a relaxed LiScRu crystal.

a = 3.083 Å, b = 3.083 Å, c = 6.695 Å
α = 90.00°, β = 90.00°, γ = 120.00°
Fractional coordinates of all 3 atoms:
Li 0.000 0.000 0.040
Sc 0.333 0.667 0.618
Ru 0.667 0.333 0.342

Properties
Total DFT energy (no corrections) (eV/cell): -17.3
ΔE_f (eV per atom): 0.081
Theoretical density (g/cm³): 4.6

=====

(3)
## LiScRu (GGA-PBE)

Data for a relaxed LiScRu crystal.

a = 7.117 Å, b = 6.887 Å, c = 2.947 Å
α = 82.27°, β = 73.51°, γ = 24.22°
Fractional coordinates of all 3 atoms:
Li 0.981 0.981 0.019
Sc 0.690 0.690 0.310
Ru 0.329 0.329 0.671

Properties
Total DFT energy (no corrections) (eV/cell): -17.4
ΔE_f (eV per atom): 0.027
Theoretical density (g/cm³): 4.7

=====

(4)
## LiScRu (GGA-PBE)

Data for a relaxed LiScRu crystal.

a = 3.227 Å, b = 4.371 Å, c = 7.242 Å
α = 90.00°, β = 102.88°, γ = 90.00°
Fractional coordinates of all 6 atoms:
Ru 0.418 0.250 0.835
Ru 0.582 0.750 0.165
Sc 0.078 0.250 0.155
Sc 0.922 0.750 0.845
Li 0.236 0.750 0.473
Li 0.764 0.250 0.527

Properties
Total DFT energy (no corrections) (eV/cell): -36.4
ΔE_f (eV per atom): -0.232
Theoretical density (g/cm³): 5.1

=====

(5)
## LiScRu (GGA-PBE)

Data for a relaxed LiScRu crystal.

a = 4.300 Å, b = 4.300 Å, c = 4.300 Å
α = 60.00°, β = 60.00°, γ = 60.00°
Fractional coordinates of all 3 atoms:
Sc 0.250 0.250 0.250
Ru 0.500 0.500 0.500
Li 0.000 0.000 0.000

Properties
Total DFT energy (no corrections) (eV/cell): -15.9
ΔE_f (eV per atom): 0.544
Theoretical density (g/cm³): 4.5

=====

(6)
## Li2ScRu (GGA-PBE)

Data for a relaxed Li2ScRu crystal.

a = 2.956 Å, b = 2.956 Å, c = 9.166 Å
α = 90.00°, β = 90.00°, γ = 111.91°
Fractional coordinates of all 4 atoms:
Li 0.000 0.000 0.005
Li 0.500 0.500 0.286
Ru 0.000 0.000 0.503
Sc 0.500 0.500 0.706

Properties
Energy above the most stable polymorph in this dataset (meV/atom): 87
Total DFT energy (no corrections) (eV/cell): -19.4
ΔE_f (eV per atom): 0.019
Theoretical density (g/cm³): 3.6

=====

The records above give, respectively, spin magnetization values of 0.001 0.000 0.000 0.000 0.000 0.000 μB/f.u..